Cr2O3 | PBE with a Hubbard U | relaxed

Properties
* V: 230 Å³ per cell
* total magnetization: 6.00 μB per formula unit
* DFT total energy: -7.6513 eV/atom

Cell and atoms, written as extended XYZ:
```
20
Lattice="-3.5129 -2.0000 -3.2080 3.2256 -0.9000 3.9265 -11.2394 3.6060 10.0595" Properties=species:S:1:pos:R:3 pbc="T T T"
Cr -7.1777 0.3697 4.8908
Cr -4.3490 0.3362 5.8872
Cr -11.7745 1.8444 9.0050
Cr 0.2478 -1.1385 1.7730
Cr 0.9596 -0.4823 4.7065
Cr -12.4863 1.1882 6.0715
Cr -10.1209 0.4293 3.9545
Cr -1.4058 0.2766 6.8235
O 0.0000 0.0000 0.0000
O -5.6197 1.8030 5.0297
O -3.8881 -0.1563 4.0835
O -7.6387 0.8622 6.6945
O -9.8895 1.5844 8.7091
O -1.6372 -0.8785 2.0690
O -6.5134 -0.1700 2.9784
O -5.0133 0.8759 7.7996
O -8.9783 2.1480 11.3484
O -2.5485 -1.4421 -0.5704
O -0.7695 -0.1920 5.1866
O -10.7573 0.8979 5.5915
```